Density functional theory data (PBE-GGA) for a relaxed structure of SmHo3Tc. Values from VASP.

## Properties
The distance to the lowest polymorph of the same formula comes out at 191.9 meV per atom. The value obtained for the formation enthalpy at 0 K is 12.24 kJ per mole of atoms. The value obtained for the total magnetization is 0.003 μB per cell. As for the space group: Pm-3m. The calculation puts the density of states at the Fermi level at 8.812 states/eV/f.u.

Geometry as Quantum ESPRESSO input:
```
&SYSTEM
  ibrav = 0, nat = 5, ntyp = 3
/
ATOMIC_SPECIES
Ho 164.93 Ho.upf
Sm 150.36 Sm.upf
Tc 98.00 Tc.upf
CELL_PARAMETERS angstrom
-0.866 -3.587 -3.901
2.968 -3.603 2.654
-4.391 -1.728 2.563
ATOMIC_POSITIONS crystal
Ho 0.000 0.500 0.000
Ho 0.000 0.000 0.500
Ho 0.500 0.000 0.000
Sm 0.500 0.500 0.500
Tc 0.000 0.000 0.000
```

***

Density functional theory data (PBE-GGA) for a relaxed structure of SmHo3Tc. Values from VASP.

## Properties
The distance to the lowest polymorph of the same formula comes out at 61.9 meV per atom. The value obtained for the formation enthalpy at 0 K is -0.30 kJ per mole of atoms. The value obtained for the total magnetization is 0.000 μB per cell. As for the space group: Pmmn. The calculation puts the density of states at the Fermi level at 4.965 states/eV/f.u.

Geometry as Quantum ESPRESSO input:
```
&SYSTEM
  ibrav = 0, nat = 10, ntyp = 3
/
ATOMIC_SPECIES
Sm 150.36 Sm.upf
Ho 164.93 Ho.upf
Tc 98.00 Tc.upf
CELL_PARAMETERS angstrom
-1.469 1.802 4.416
-7.329 -3.484 -1.015
2.270 -5.669 3.068
ATOMIC_POSITIONS crystal
Sm 0.750 0.250 0.419
Sm 0.250 0.750 0.581
Ho 0.250 0.453 0.178
Ho 0.750 0.547 0.822
Ho 0.250 0.047 0.178
Ho 0.750 0.953 0.822
Ho 0.250 0.250 0.750
Ho 0.750 0.750 0.250
Tc 0.750 0.250 0.014
Tc 0.250 0.750 0.986
```

***

Density functional theory data (PBE-GGA) for a relaxed structure of Sm3HoTc. Values from VASP.

## Properties
The distance to the lowest polymorph of the same formula comes out at 0.0 meV per atom. The value obtained for the formation enthalpy at 0 K is -1.35 kJ per mole of atoms. The value obtained for the total magnetization is 0.000 μB per cell. As for the space group: Cm. The calculation puts the density of states at the Fermi level at 4.785 states/eV/f.u.

Geometry as Quantum ESPRESSO input:
```
&SYSTEM
  ibrav = 0, nat = 10, ntyp = 3
/
ATOMIC_SPECIES
Sm 150.36 Sm.upf
Ho 164.93 Ho.upf
Tc 98.00 Tc.upf
CELL_PARAMETERS angstrom
-2.291 3.194 -0.455
-5.157 -0.712 3.761
3.942 6.638 9.537
ATOMIC_POSITIONS crystal
Sm 0.453 0.945 0.148
Sm 0.761 0.716 0.761
Sm 0.095 0.186 0.623
Sm 0.986 0.124 0.904
Sm 0.781 0.052 0.386
Sm 0.428 0.628 0.516
Ho 0.115 0.490 0.281
Ho 0.233 0.527 0.007
Tc 0.785 0.280 0.151
Tc 0.424 0.388 0.764
```

***

Density functional theory data (PBE-GGA) for a relaxed structure of Sm2Ho2Te5. Values from VASP.

## Properties
The distance to the lowest polymorph of the same formula comes out at 0.0 meV per atom. The value obtained for the total magnetization is 0.000 μB per cell. For the uncorrected formation energy, the calculation gives -1.29 eV/atom. As for the space group: Cmce. The calculation puts the density of states at the Fermi level at 6.296 states/eV/f.u.

Geometry as Quantum ESPRESSO input:
```
&SYSTEM
  ibrav = 0, nat = 18, ntyp = 3
/
ATOMIC_SPECIES
Sm 150.36 Sm.upf
Ho 164.93 Ho.upf
Te 127.60 Te.upf
CELL_PARAMETERS angstrom
8.204 0.000 0.000
0.000 7.719 -4.527
0.000 -0.791 8.914
ATOMIC_POSITIONS crystal
Sm 0.000 0.803 0.197
Sm 0.500 0.303 0.697
Sm 0.000 0.197 0.803
Sm 0.500 0.697 0.303
Ho 0.351 0.145 0.145
Ho 0.649 0.855 0.855
Ho 0.851 0.355 0.355
Ho 0.149 0.645 0.645
Te 0.000 0.000 0.000
Te 0.500 0.500 0.500
Te 0.156 0.203 0.478
Te 0.844 0.522 0.797
Te 0.656 0.022 0.297
Te 0.344 0.703 0.978
Te 0.844 0.797 0.522
Te 0.156 0.478 0.203
Te 0.344 0.978 0.703
Te 0.656 0.297 0.022
```

***

Density functional theory data (PBE-GGA) for a relaxed structure of SmHo6Te8. Values from VASP.

## Properties
The value obtained for the total magnetization is 0.000 μB per cell. For the uncorrected formation energy, the calculation gives -1.35 eV/atom. As for the space group: Fm-3m. The calculation puts the density of states at the Fermi level at 6.684 states/eV/f.u.

Geometry as Quantum ESPRESSO input:
```
&SYSTEM
  ibrav = 0, nat = 15, ntyp = 3
/
ATOMIC_SPECIES
Sm 150.36 Sm.upf
Ho 164.93 Ho.upf
Te 127.60 Te.upf
CELL_PARAMETERS angstrom
-1.501 -3.425 7.799
-5.338 -6.758 0.801
3.166 -7.801 1.979
ATOMIC_POSITIONS crystal
Sm 0.000 0.000 0.000
Ho 0.000 0.500 0.500
Ho 0.500 0.000 0.000
Ho 0.500 0.500 0.000
Ho 0.000 0.000 0.500
Ho 0.000 0.500 0.000
Ho 0.500 0.000 0.500
Te 0.750 0.750 0.750
Te 0.250 0.250 0.250
Te 0.740 0.260 0.260
Te 0.260 0.740 0.740
Te 0.260 0.260 0.740
Te 0.740 0.740 0.260
Te 0.740 0.260 0.740
Te 0.260 0.740 0.260
```

***

Density functional theory data (PBE-GGA) for a relaxed structure of SmHo2Te2. Values from VASP.

## Properties
The value obtained for the total magnetization is 0.000 μB per cell. For the uncorrected formation energy, the calculation gives -0.72 eV/atom. As for the space group: I4/mmm. The calculation puts the density of states at the Fermi level at 4.181 states/eV/f.u.

Geometry as Quantum ESPRESSO input:
```
&SYSTEM
  ibrav = 0, nat = 5, ntyp = 3
/
ATOMIC_SPECIES
Sm 150.36 Sm.upf
Ho 164.93 Ho.upf
Te 127.60 Te.upf
CELL_PARAMETERS angstrom
4.362 0.000 0.000
0.000 4.366 -0.003
-2.181 -2.178 7.704
ATOMIC_POSITIONS crystal
Sm 0.000 0.000 0.000
Ho 0.750 0.250 0.500
Ho 0.250 0.750 0.500
Te 0.606 0.606 0.212
Te 0.394 0.394 0.788
```

***

Density functional theory data (PBE-GGA) for a relaxed structure of Sm3Ho4Te8. Values from VASP.

## Properties
The value obtained for the total magnetization is 0.000 μB per cell. For the uncorrected formation energy, the calculation gives -1.38 eV/atom. As for the space group: C2/m. The calculation puts the density of states at the Fermi level at 6.830 states/eV/f.u.

Geometry as Quantum ESPRESSO input:
```
&SYSTEM
  ibrav = 0, nat = 15, ntyp = 3
/
ATOMIC_SPECIES
Sm 150.36 Sm.upf
Ho 164.93 Ho.upf
Te 127.60 Te.upf
CELL_PARAMETERS angstrom
-7.661 0.774 4.135
0.210 -2.538 -8.365
5.464 -6.491 2.111
ATOMIC_POSITIONS crystal
Sm 0.500 0.500 0.000
Sm 0.500 0.000 0.500
Sm 0.500 0.500 0.500
Ho 0.500 0.000 0.000
Ho 0.000 0.500 0.000
Ho 0.000 0.000 0.000
Ho 0.000 0.000 0.500
Te 0.506 0.250 0.250
Te 0.000 0.747 0.253
Te 0.994 0.251 0.251
Te 0.500 0.753 0.247
Te 0.500 0.247 0.753
Te 0.006 0.749 0.749
Te 0.000 0.253 0.747
Te 0.494 0.750 0.750
```

***

Density functional theory data (PBE-GGA) for a relaxed structure of SmHo5Te6. Values from VASP.

## Properties
The value obtained for the total magnetization is 0.000 μB per cell. For the uncorrected formation energy, the calculation gives -1.27 eV/atom. As for the space group: C2/m. The calculation puts the density of states at the Fermi level at 5.519 states/eV/f.u.

Geometry as Quantum ESPRESSO input:
```
&SYSTEM
  ibrav = 0, nat = 12, ntyp = 3
/
ATOMIC_SPECIES
Sm 150.36 Sm.upf
Ho 164.93 Ho.upf
Te 127.60 Te.upf
CELL_PARAMETERS angstrom
-6.708 -2.552 2.263
0.982 -5.254 5.327
0.283 2.005 7.270
ATOMIC_POSITIONS crystal
Sm 0.000 0.000 0.000
Ho 0.500 0.158 0.685
Ho 0.000 0.334 0.332
Ho 0.500 0.500 0.000
Ho 0.000 0.666 0.668
Ho 0.500 0.842 0.315
Te 0.744 0.085 0.342
Te 0.256 0.573 0.342
Te 0.248 0.259 0.000
Te 0.752 0.741 0.000
Te 0.744 0.427 0.658
Te 0.256 0.915 0.658
```

***

Density functional theory data (PBE-GGA) for a relaxed structure of SmHo2Te4. Values from VASP.

## Properties
The distance to the lowest polymorph of the same formula comes out at 0.0 meV per atom. The value obtained for the total magnetization is 0.000 μB per cell. For the uncorrected formation energy, the calculation gives -1.39 eV/atom. As for the space group: C2/m. The calculation puts the density of states at the Fermi level at 3.088 states/eV/f.u.

Geometry as Quantum ESPRESSO input:
```
&SYSTEM
  ibrav = 0, nat = 7, ntyp = 3
/
ATOMIC_SPECIES
Sm 150.36 Sm.upf
Ho 164.93 Ho.upf
Te 127.60 Te.upf
CELL_PARAMETERS angstrom
4.205 0.000 -1.150
-0.698 7.088 -2.553
0.067 -1.021 8.506
ATOMIC_POSITIONS crystal
Sm 0.000 0.000 0.000
Ho 0.255 0.242 0.510
Ho 0.745 0.758 0.490
Te 0.124 0.790 0.249
Te 0.876 0.210 0.751
Te 0.368 0.704 0.735
Te 0.632 0.296 0.265
```

***

Density functional theory data (PBE-GGA) for a relaxed structure of SmHo4Te2. Values from VASP.

## Properties
The value obtained for the total magnetization is 0.000 μB per cell. For the uncorrected formation energy, the calculation gives -0.48 eV/atom. As for the space group: R-3m. The calculation puts the density of states at the Fermi level at 6.102 states/eV/f.u.

Geometry as Quantum ESPRESSO input:
```
&SYSTEM
  ibrav = 0, nat = 7, ntyp = 3
/
ATOMIC_SPECIES
Sm 150.36 Sm.upf
Ho 164.93 Ho.upf
Te 127.60 Te.upf
CELL_PARAMETERS angstrom
-4.207 2.569 2.266
-1.134 -0.760 5.251
3.525 7.410 4.637
ATOMIC_POSITIONS crystal
Sm 0.500 0.500 0.500
Ho 0.735 0.735 0.796
Ho 0.866 0.866 0.402
Ho 0.265 0.265 0.204
Ho 0.134 0.134 0.598
Te 0.618 0.618 0.146
Te 0.382 0.382 0.854
```